Ba3InTc2O9: relaxed, PBE.

```
Ba3InTc2O9
1.0
-4.2167 3.4623 -2.0461
0.4956 -5.4625 -1.9674
-4.3642 -2.2587 5.1720
O Ba Tc In
9 3 2 1
direct
0.6520 0.8260 0.3210 O
0.8260 0.1740 0.6790 O
0.3480 0.1740 0.6790 O
0.5000 0.0000 0.0000 O
0.8260 0.6520 0.6790 O
0.5000 0.5000 0.0000 O
0.1740 0.3480 0.3210 O
0.0000 0.5000 0.0000 O
0.1740 0.8260 0.3210 O
0.0000 0.0000 0.0000 Ba
0.3333 0.6667 0.6575 Ba
0.6667 0.3333 0.3425 Ba
0.3333 0.6667 0.1525 Tc
0.6667 0.3333 0.8475 Tc
0.0000 0.0000 0.5000 In
```

Calculated total energy (eV/cell): -104.446
Calculated volume (Å³ per cell): 209.8
Formation energy without anion corrections (eV per formula unit): -30.58
SG: No. 164

***

BaInTc2O8: relaxed, PBE.

```
BaInTc2O8
1.0
-0.8242 5.6622 -0.9878
-4.3377 -3.7605 -0.8708
-2.2397 0.9241 7.1660
O In Tc Ba
8 1 2 1
direct
0.2026 0.8824 0.6906 O
0.3333 0.6667 0.9896 O
0.3201 0.2026 0.3094 O
0.6667 0.3333 0.0104 O
0.7974 0.1176 0.3094 O
0.8824 0.6799 0.3094 O
0.6799 0.7974 0.6906 O
0.1176 0.3201 0.6906 O
0.0000 0.0000 0.5000 In
0.3333 0.6667 0.7546 Tc
0.6667 0.3333 0.2454 Tc
0.0000 0.0000 0.0000 Ba
```

Calculated total energy (eV/cell): -84.265
Calculated volume (Å³ per cell): 220.9
Formation energy without anion corrections (eV per formula unit): -19.21
SG: No. 147

***

Ba3InTe2O9: relaxed, PBE.

```
Ba3InTe2O9
1.0
-1.0437 -4.0179 -4.4178
5.6304 2.0126 0.9987
1.1372 -5.5555 4.7839
O Ba Te In
9 3 2 1
direct
0.5000 0.5000 0.0000 O
0.1723 0.3446 0.3308 O
0.0000 0.5000 0.0000 O
0.8277 0.1723 0.6692 O
0.5000 0.0000 0.0000 O
0.6554 0.8277 0.3308 O
0.1723 0.8277 0.3308 O
0.8277 0.6554 0.6692 O
0.3446 0.1723 0.6692 O
0.3333 0.6667 0.6678 Ba
0.0000 0.0000 0.0000 Ba
0.6667 0.3333 0.3322 Ba
0.6667 0.3333 0.8269 Te
0.3333 0.6667 0.1731 Te
0.0000 0.0000 0.5000 In
```

Calculated total energy (eV/cell): -87.636
Calculated volume (Å³ per cell): 236.1
Formation energy without anion corrections (eV per formula unit): -28.22
SG: No. 164

***

Ba3In2Te2O4: relaxed, PBE.

```
Ba3In2Te2O4
1.0
-2.2641 -3.6125 -1.3405
2.4244 -0.1271 -3.7523
8.6869 -5.8235 8.4714
Ba In O Te
3 2 4 2
direct
0.0000 0.0000 0.0000 Ba
0.8542 0.8543 0.7085 Ba
0.1458 0.1457 0.2915 Ba
0.4147 0.4147 0.8294 In
0.5853 0.5853 0.1706 In
0.9305 0.4305 0.8610 O
0.0695 0.5695 0.1390 O
0.4305 0.9305 0.8610 O
0.5695 0.0695 0.1390 O
0.3047 0.3047 0.6095 Te
0.6953 0.6953 0.3905 Te
```

Calculated total energy (eV/cell): -56.080
Calculated volume (Å³ per cell): 261.3
Formation energy without anion corrections (eV per formula unit): -18.72
SG: No. 139

***

BaInTe2O8: relaxed, PBE.

```
BaInTe2O8
1.0
-3.4588 -4.2095 0.1433
-0.4870 -3.2754 -4.3288
4.3233 -7.0327 1.4040
O Te Ba In
8 2 1 1
direct
0.3785 0.7244 0.8343 O
0.7244 0.0628 0.8343 O
0.2756 0.9372 0.1657 O
0.1823 0.1823 0.4532 O
0.9372 0.6215 0.1657 O
0.8177 0.8177 0.5468 O
0.6215 0.2756 0.1657 O
0.0628 0.3785 0.8343 O
0.7384 0.7384 0.7849 Te
0.2616 0.2616 0.2151 Te
0.5000 0.5000 0.5000 Ba
0.0000 0.0000 0.0000 In
```

Calculated total energy (eV/cell): -66.092
Calculated volume (Å³ per cell): 199.6
Formation energy without anion corrections (eV per formula unit): -15.48
SG: No. 148

***

Ba2ThInO6: relaxed, PBE.

```
Ba2ThInO6
1.0
4.4378 0.0000 0.0000
0.0000 4.4378 0.0000
0.0000 0.0000 8.8604
In O Ba Th
1 6 2 1
direct
0.5000 0.5000 0.5000 In
0.5000 0.0000 0.5000 O
0.0000 0.5000 0.5000 O
0.0000 0.5000 0.0000 O
0.5000 0.5000 0.7433 O
0.5000 0.0000 0.0000 O
0.5000 0.5000 0.2567 O
0.0000 0.0000 0.2857 Ba
0.0000 0.0000 0.7143 Ba
0.5000 0.5000 0.0000 Th
```

Calculated total energy (eV/cell): -69.066
Calculated volume (Å³ per cell): 174.5
Formation energy without anion corrections (eV per formula unit): -25.31
SG: No. 123

***

Ba3Ti2InO9: relaxed, PBE.

```
Ba3Ti2InO9
1.0
-3.7275 -4.2193 -1.5246
4.6044 1.1848 -3.3788
3.9068 -4.7707 3.6510
Ba O In Ti
3 9 1 2
direct
0.3333 0.6667 0.6728 Ba
0.6667 0.3333 0.3272 Ba
0.0000 0.0000 0.0000 Ba
0.5000 0.5000 0.0000 O
0.0000 0.5000 0.0000 O
0.1745 0.8255 0.3206 O
0.1745 0.3491 0.3206 O
0.8255 0.1745 0.6794 O
0.5000 0.0000 0.0000 O
0.8255 0.6509 0.6794 O
0.6509 0.8255 0.3206 O
0.3491 0.1745 0.6794 O
0.0000 0.0000 0.5000 In
0.6667 0.3333 0.8276 Ti
0.3333 0.6667 0.1724 Ti
```

Calculated total energy (eV/cell): -108.638
Calculated volume (Å³ per cell): 211.1
Formation energy without anion corrections (eV per formula unit): -39.72
SG: No. 164

***

BaZrTiInO6: relaxed, PBE.

```
BaZrTiInO6
1.0
0.0000 4.0969 4.0969
4.0969 0.0000 4.0969
4.0969 4.0969 0.0000
Ba O Ti In Zr
1 6 1 1 1
direct
0.2500 0.2500 0.2500 Ba
0.7580 0.2420 0.7580 O
0.7580 0.7580 0.2420 O
0.2420 0.7580 0.2420 O
0.2420 0.2420 0.7580 O
0.7580 0.2420 0.2420 O
0.2420 0.7580 0.7580 O
0.0000 0.0000 0.0000 Ti
0.7500 0.7500 0.7500 In
0.5000 0.5000 0.5000 Zr
```

Calculated total energy (eV/cell): -76.984
Calculated volume (Å³ per cell): 137.5
Formation energy without anion corrections (eV per formula unit): -26.13
SG: No. 216

***

What is the formation energy without anion corrections in the eighth record? -26.13 eV per formula unit

***

Look up the calculated total energy of the eighth one. -76.984 eV/cell

***

formation energy without anion corrections of number 5 (BaInTe2O8)? -15.48 eV per formula unit

***

The highest calculated volume belongs to which entry? Ba3In2Te2O4